[1]
# CrAg2Pb | Alexandria via LeMat-Bulk | GGA-PBE | relaxed
data_CrAg2Pb
_cell_length_a 4.201
_cell_length_b 4.201
_cell_length_c 4.472
_cell_angle_alpha 90.00
_cell_angle_beta 90.00
_cell_angle_gamma 90.00
_symmetry_space_group_name_H-M 'P 4/m m m'
_symmetry_Int_Tables_number 123
_symmetry_space_group_name_Hall '-P 4 2'
loop_
_atom_site_label
_atom_site_fract_x
_atom_site_fract_y
_atom_site_fract_z
Cr1 0.000 0.000 0.000
Ag1 0.000 0.500 0.500
Pb1 0.500 0.500 0.000
# - total magnetization (μB per atom) = 0.9373
# - calculated formation energy (meV per atom) = 349
# - DOS(E_F) (states/eV/f.u.) = 2.48

[2]
# Cr2AgPb | Alexandria via LeMat-Bulk | GGA-PBE | relaxed
data_Cr2AgPb
_cell_length_a 3.2076
_cell_length_b 3.2076
_cell_length_c 27.9493
_cell_angle_alpha 90.00
_cell_angle_beta 90.00
_cell_angle_gamma 120.00
_symmetry_space_group_name_H-M 'R -3 m'
_symmetry_Int_Tables_number 166
_symmetry_space_group_name_Hall '-R 3 2"'
loop_
_atom_site_label
_atom_site_fract_x
_atom_site_fract_y
_atom_site_fract_z
Cr1 0.0000 0.0000 0.2440
Ag1 0.0000 0.0000 0.5000
Pb1 0.0000 0.0000 0.0000
# - total magnetization (μB per atom) = 2.1660
# - calculated formation energy (meV per atom) = 748
# - DOS(E_F) (states/eV/f.u.) = 2.03

[3]
# Cr2AgPb | Alexandria via LeMat-Bulk | GGA-PBE | relaxed
data_Cr2AgPb
_cell_length_a 3.171
_cell_length_b 3.238
_cell_length_c 7.235
_cell_angle_alpha 90.00
_cell_angle_beta 90.29
_cell_angle_gamma 90.00
_symmetry_space_group_name_H-M 'P 1 m 1'
_symmetry_Int_Tables_number 6
loop_
_symmetry_equiv_pos_as_xyz
'x,y,z'
'x,-y,z'
loop_
_atom_site_label
_atom_site_fract_x
_atom_site_fract_y
_atom_site_fract_z
Cr1 0.000 0.000 0.000
Cr2 0.498 0.500 0.850
Ag1 0.995 0.000 0.605
Pb1 0.500 0.500 0.286
# - total magnetization (μB per atom) = 0.0887
# - calculated formation energy (meV per atom) = 404
# - DOS(E_F) (states/eV/f.u.) = 2.61

[4]
# Cr2AgPb | Alexandria via LeMat-Bulk | GGA-PBE | relaxed
data_Cr2AgPb
_cell_length_a 3.008
_cell_length_b 4.274
_cell_length_c 5.772
_cell_angle_alpha 90.00
_cell_angle_beta 90.90
_cell_angle_gamma 90.00
_symmetry_space_group_name_H-M 'P 1 2/m 1'
_symmetry_Int_Tables_number 10
loop_
_symmetry_equiv_pos_as_xyz
'x,y,z'
'-x,-y,-z'
'-x,y,-z'
'x,-y,z'
loop_
_atom_site_label
_atom_site_fract_x
_atom_site_fract_y
_atom_site_fract_z
Cr1 0.001 0.000 0.164
Ag1 0.500 0.500 0.000
Pb1 0.500 0.500 0.500
# - total magnetization (μB per atom) = 0.0000
# - calculated formation energy (meV per atom) = 776
# - DOS(E_F) (states/eV/f.u.) = 3.87

[5]
# CrAgPb2 | Alexandria via LeMat-Bulk | GGA-PBE | relaxed
data_CrAgPb2
_cell_length_a 3.443
_cell_length_b 4.841
_cell_length_c 11.347
_cell_angle_alpha 90.00
_cell_angle_beta 90.00
_cell_angle_gamma 90.00
_symmetry_space_group_name_H-M 'I m m 2'
_symmetry_Int_Tables_number 44
loop_
_symmetry_equiv_pos_as_xyz
'x,y,z'
'-x,-y,z'
'-x,y,z'
'x,-y,z'
'x+1/2,y+1/2,z+1/2'
'-x+1/2,-y+1/2,z+1/2'
'-x+1/2,y+1/2,z+1/2'
'x+1/2,-y+1/2,z+1/2'
loop_
_atom_site_label
_atom_site_fract_x
_atom_site_fract_y
_atom_site_fract_z
Cr1 0.000 0.000 0.000
Ag1 0.000 0.500 0.299
Pb1 0.000 0.000 0.504
Pb2 0.000 0.500 0.727
# - offset from the most stable computed form (eV per formula unit) = 0.171
# - total magnetization (μB per atom) = 0.9377
# - calculated formation energy (meV per atom) = 374
# - DOS(E_F) (states/eV/f.u.) = 2.30

[6]
# CrAg2Pb | Alexandria via LeMat-Bulk | GGA-PBE | relaxed
data_CrAg2Pb
_cell_length_a 5.794
_cell_length_b 10.428
_cell_length_c 3.144
_cell_angle_alpha 90.00
_cell_angle_beta 120.62
_cell_angle_gamma 90.00
_symmetry_space_group_name_H-M 'C 1 2/m 1'
_symmetry_Int_Tables_number 12
loop_
_symmetry_equiv_pos_as_xyz
'x,y,z'
'-x,-y,-z'
'-x,y,-z'
'x,-y,z'
'x+1/2,y+1/2,z'
'-x+1/2,-y+1/2,-z'
'-x+1/2,y+1/2,-z'
'x+1/2,-y+1/2,z'
loop_
_atom_site_label
_atom_site_fract_x
_atom_site_fract_y
_atom_site_fract_z
Cr1 0.000 0.000 0.000
Ag1 0.250 0.250 0.500
Pb1 0.000 0.500 0.000
# - total magnetization (μB per atom) = 0.9882
# - calculated formation energy (meV per atom) = 402
# - DOS(E_F) (states/eV/f.u.) = 1.86